Entry 1:
{
  "formula": "Ni2BiSb",
  "functional": "GGA-PBE",
  "state": "optimized geometry",
  "crystal_system": "tetragonal",
  "cell": [[4.646, 0.000, 0.000], [0.000, 4.646, 0.000], [2.323, 2.323, 7.878]],
  "species": ["Sb", "Sb", "Ni", "Ni", "Ni", "Ni", "Bi", "Bi"],
  "fractional_positions": [[0.250, 0.750, 0.500], [0.500, 0.500, 0.000], [0.172, 0.625, 0.250], [0.875, 0.828, 0.750], [0.578, 0.125, 0.250], [0.375, 0.422, 0.750], [0.750, 0.250, 0.500], [0.000, 0.000, 0.000]]
}

***

Entry 2:
{
  "formula": "Ni2BiSb2",
  "functional": "GGA-PBE",
  "state": "optimized geometry",
  "crystal_system": "tetragonal",
  "cell": [[-4.802, -5.503, 2.322], [5.724, -3.390, 3.804], [-0.760, 1.836, 2.779]],
  "species": ["Ni", "Ni", "Ni", "Ni", "Sb", "Sb", "Sb", "Sb", "Bi", "Bi"],
  "fractional_positions": [[0.622, 0.122, 0.000], [0.378, 0.878, 0.000], [0.122, 0.378, 0.000], [0.878, 0.622, 0.000], [0.151, 0.651, 0.500], [0.849, 0.349, 0.500], [0.349, 0.151, 0.500], [0.651, 0.849, 0.500], [0.000, 0.000, 0.000], [0.500, 0.500, 0.000]]
}

***

Entry 3:
{
  "formula": "NiBiSb",
  "functional": "GGA-PBE",
  "state": "optimized geometry",
  "crystal_system": "orthorhombic",
  "cell": [[3.903, 0.000, 0.000], [0.000, 5.433, 0.000], [0.000, 0.000, 6.519]],
  "species": ["Ni", "Ni", "Sb", "Sb", "Bi", "Bi"],
  "fractional_positions": [[0.000, 0.229, 0.004], [0.500, 0.771, 0.504], [0.500, 0.972, 0.857], [0.000, 0.028, 0.357], [0.500, 0.530, 0.146], [0.000, 0.470, 0.646]]
}

***

Entry 4:
{
  "formula": "Ni2BiSb2",
  "functional": "GGA-PBE",
  "state": "optimized geometry",
  "crystal_system": "tetragonal",
  "cell": [[-1.997, 7.946, 0.353], [-4.269, -0.764, -6.960], [-2.599, -0.728, 1.674]],
  "species": ["Sb", "Sb", "Sb", "Sb", "Ni", "Ni", "Ni", "Ni", "Bi", "Bi"],
  "fractional_positions": [[0.351, 0.851, 0.000], [0.649, 0.149, 0.000], [0.851, 0.649, 0.000], [0.149, 0.351, 0.000], [0.888, 0.388, 0.500], [0.612, 0.888, 0.500], [0.388, 0.112, 0.500], [0.112, 0.612, 0.500], [0.500, 0.500, 0.000], [0.000, 0.000, 0.000]]
}

***

Number 1: D(E_F) 4.80 states/eV/cell, final energy -4.711 eV/atom. Number 2: D(E_F) 6.09 states/eV/cell, final energy -4.650 eV/atom. Number 3: D(E_F) 3.23 states/eV/cell, final energy -4.694 eV/atom. Number 4: D(E_F) 6.58 states/eV/cell, final energy -4.508 eV/atom.